No. 1
Computed, not measured: a relaxed Ce8IrRh2 crystal at the PBE-GGA level of DFT.

The value obtained for the formation energy is -0.384 eV per atom. Its spin magnetization is 8.11 μB per cell. The calculation puts the relative energy among the computed polymorphs at 0.0 meV per atom.

It has space group C2/m (No. 12), with a = 17.5575 Å, b = 5.1309 Å, c = 6.3839 Å, α = 90.00°, β = 111.26° and γ = 90.00°. The distinct sites, in fractional coordinates, are Ce at (0.0153, 0.0000, 0.2523), Ce at (0.0950, 0.5000, 0.6983), Ce at (0.1741, 0.5000, 0.3003), Ce at (0.2067, 0.0000, 0.0941), Ir at (0.0000, 0.5000, 0.0000) and Rh at (0.1632, 0.0000, 0.5765).

=====

No. 2
Computed, not measured: a relaxed Ce4IrRh crystal at the PBE-GGA level of DFT.

The value obtained for the formation energy is -0.478 eV per atom. Its spin magnetization is 4.12 μB per cell.

It has space group P2_1/m (No. 11), with a = 5.7708 Å, b = 6.7166 Å, c = 7.5982 Å, α = 90.00°, β = 102.02° and γ = 90.00°. The distinct sites, in fractional coordinates, are Ce at (0.1450, 0.2500, 0.0740), Ce at (0.2087, 0.7500, 0.3678), Ce at (0.3106, 0.5154, 0.7161), Ir at (0.3626, 0.7500, 0.0412) and Rh at (0.2400, 0.2500, 0.4139).

=====

No. 3
Computed, not measured: a relaxed CeIrRh crystal at the PBE-GGA level of DFT.

The value obtained for the formation energy is -0.553 eV per atom. Its spin magnetization is 0.08 μB per cell. The calculation puts the relative energy among the computed polymorphs at 198.7 meV per atom.

It has space group P-6m2 (No. 187), with a = 4.3231 Å, b = 4.3231 Å, c = 3.8168 Å, α = 90.00°, β = 90.00° and γ = 120.00°. The distinct sites, in fractional coordinates, are Ce at (0.0000, 0.0000, 0.0000), Ir at (0.6667, 0.3333, 0.5000) and Rh at (0.3333, 0.6667, 0.5000).

=====

No. 4
Computed, not measured: a relaxed Ce4Ir2Rh crystal at the PBE-GGA level of DFT.

The value obtained for the formation energy is -0.622 eV per atom. Its spin magnetization is 4.87 μB per cell.

It has space group C2/m (No. 12), with a = 14.0997 Å, b = 4.2105 Å, c = 7.0755 Å, α = 90.00°, β = 119.70° and γ = 90.00°. The distinct sites, in fractional coordinates, are Ce at (0.1203, 0.0000, 0.2996), Ce at (0.1343, 0.5000, 0.7873), Ir at (0.2407, 0.5000, 0.2435) and Rh at (0.0000, 0.5000, 0.0000).

=====

No. 5
Computed, not measured: a relaxed Ce6Ir2Rh crystal at the PBE-GGA level of DFT.

The value obtained for the formation energy is -0.478 eV per atom. Its spin magnetization is 4.07 μB per cell.

It has space group P2_1/c (No. 14), with a = 6.3482 Å, b = 7.3166 Å, c = 11.4846 Å, α = 90.00°, β = 121.49° and γ = 90.00°. The distinct sites, in fractional coordinates, are Ce at (0.0782, 0.1922, 0.4291), Ce at (0.2865, 0.6517, 0.4446), Ce at (0.3969, 0.0447, 0.2374), Ir at (0.1623, 0.1225, 0.7239) and Rh at (0.5000, 0.0000, 0.5000).

=====

No. 6
Computed, not measured: a relaxed CeSi2IrRh crystal at the PBE-GGA level of DFT.

Its spin magnetization is 1.04 μB per cell. The calculation puts the uncorrected formation energy at -1.058 eV per atom.

It has space group I-4m2 (No. 119), with a = 4.0937 Å, b = 4.0937 Å, c = 10.1194 Å, α = 90.00°, β = 90.00° and γ = 90.00°. The distinct sites, in fractional coordinates, are Ce at (0.0000, 0.0000, 0.0000), Si at (0.0000, 0.0000, 0.3786), Ir at (0.0000, 0.5000, 0.7500) and Rh at (0.0000, 0.5000, 0.2500).

=====

No. 7
Computed, not measured: a relaxed Ce2Si3Ir4Rh crystal at the PBE-GGA level of DFT.

Its spin magnetization is 0.33 μB per cell. The calculation puts the uncorrected formation energy at -0.885 eV per atom.

It has space group P-4m2 (No. 115), with a = 4.0922 Å, b = 4.0922 Å, c = 10.4408 Å, α = 90.00°, β = 90.00° and γ = 90.00°. The distinct sites, in fractional coordinates, are Ce at (0.0000, 0.5000, 0.2466), Si at (0.0000, 0.0000, 0.0000), Si at (0.0000, 0.5000, 0.6241), Ir at (0.0000, 0.0000, 0.5000), Ir at (0.0000, 0.5000, 0.8506), Ir at (0.5000, 0.5000, 0.5000) and Rh at (0.5000, 0.5000, 0.0000).

=====

No. 8
Computed, not measured: a relaxed Ce2Si4Ir3Rh crystal at the PBE-GGA level of DFT.

Its spin magnetization is 0.74 μB per cell. The calculation puts the uncorrected formation energy at -1.060 eV per atom.

It has space group P-4m2 (No. 115), with a = 4.1652 Å, b = 4.1652 Å, c = 9.9061 Å, α = 90.00°, β = 90.00° and γ = 90.00°. The distinct sites, in fractional coordinates, are Ce at (0.0000, 0.5000, 0.2427), Si at (0.0000, 0.0000, 0.0000), Si at (0.0000, 0.5000, 0.6293), Si at (0.5000, 0.5000, 0.0000), Ir at (0.0000, 0.5000, 0.8724), Ir at (0.5000, 0.5000, 0.5000) and Rh at (0.0000, 0.0000, 0.5000).

=====

No. 9
Computed, not measured: a relaxed Ce2ZnIr2Rh5 crystal at the PBE-GGA level of DFT.

The value obtained for the formation energy is -0.454 eV per atom. Its spin magnetization is 0.00 μB per cell.

It has space group P4/mbm (No. 127), with a = 9.2859 Å, b = 9.2859 Å, c = 4.0606 Å, α = 90.00°, β = 90.00° and γ = 90.00°. The distinct sites, in fractional coordinates, are Ce at (0.1685, 0.3315, 0.0000), Zn at (0.0000, 0.0000, 0.0000), Ir at (0.1313, 0.6313, 0.0000), Rh at (0.0000, 0.5000, 0.5000) and Rh at (0.0678, 0.8032, 0.5000).

=====

No. 10
Computed, not measured: a relaxed CeZrIrRh crystal at the PBE-GGA level of DFT.

The value obtained for the formation energy is -0.642 eV per atom. Its spin magnetization is 2.64 μB per cell.

It has space group F-43m (No. 216), with a = 6.7918 Å, b = 6.7918 Å, c = 6.7918 Å, α = 90.00°, β = 90.00° and γ = 90.00°. The distinct sites, in fractional coordinates, are Ce at (0.0000, 0.0000, 0.0000), Zr at (0.0000, 0.0000, 0.5000), Ir at (0.2500, 0.2500, 0.2500) and Rh at (0.2500, 0.2500, 0.7500).

=====

No. 11
Computed, not measured: a relaxed Ce4IrRu crystal at the PBE-GGA level of DFT.

The value obtained for the formation energy is -0.339 eV per atom. Its spin magnetization is 15.13 μB per cell. The calculation puts the relative energy among the computed polymorphs at 62.2 meV per atom.

It has space group Fddd (No. 70, origin choice 2), with a = 8.4159 Å, b = 11.0996 Å, c = 13.1742 Å, α = 90.00°, β = 90.00° and γ = 90.00°. The distinct sites, in fractional coordinates, are Ce at (0.1121, 0.3653, 0.0131), Ir at (0.1250, 0.1250, 0.1250) and Ru at (0.1250, 0.1250, 0.6250).

=====

No. 12
Computed, not measured: a relaxed CeIrRu crystal at the PBE-GGA level of DFT.

The value obtained for the formation energy is -0.280 eV per atom. Its spin magnetization is 0.00 μB per cell. The calculation puts the relative energy among the computed polymorphs at 262.4 meV per atom.

It has space group P-6m2 (No. 187), with a = 4.2772 Å, b = 4.2772 Å, c = 3.9922 Å, α = 90.00°, β = 90.00° and γ = 120.00°. The distinct sites, in fractional coordinates, are Ce at (0.0000, 0.0000, 0.0000), Ir at (0.3333, 0.6667, 0.5000) and Ru at (0.6667, 0.3333, 0.5000).

=====

No. 13
Computed, not measured: a relaxed Ce2IrRu crystal at the PBE-GGA level of DFT.

The value obtained for the formation energy is -0.474 eV per atom. Its spin magnetization is 0.41 μB per cell.

It has space group P4/mmm (No. 123), with a = 4.9344 Å, b = 4.9344 Å, c = 3.4376 Å, α = 90.00°, β = 90.00° and γ = 90.00°. The distinct sites, in fractional coordinates, are Ce at (0.0000, 0.5000, 0.0000), Ir at (0.0000, 0.0000, 0.5000) and Ru at (0.5000, 0.5000, 0.5000).

=====

No. 14
Computed, not measured: a relaxed Ce8Ir2Ru crystal at the PBE-GGA level of DFT.

The value obtained for the formation energy is -0.354 eV per atom. Its spin magnetization is 2.62 μB per cell. The calculation puts the relative energy among the computed polymorphs at 0.0 meV per atom.

It has space group C2/m (No. 12), with a = 17.8590 Å, b = 4.5933 Å, c = 6.7784 Å, α = 90.00°, β = 109.39° and γ = 90.00°. The distinct sites, in fractional coordinates, are Ce at (0.0043, 0.0000, 0.2587), Ce at (0.0903, 0.5000, 0.9867), Ce at (0.1695, 0.5000, 0.5214), Ce at (0.2007, 0.0000, 0.8094), Ir at (0.1635, 0.0000, 0.2421) and Ru at (0.0000, 0.5000, 0.5000).

=====

No. 15
Computed, not measured: a relaxed Ce8Ir2Ru crystal at the PBE-GGA level of DFT.

The value obtained for the formation energy is -0.335 eV per atom. Its spin magnetization is 4.48 μB per cell. The calculation puts the relative energy among the computed polymorphs at 19.0 meV per atom.

It has space group C2/m (No. 12), with a = 7.9348 Å, b = 12.5777 Å, c = 5.7760 Å, α = 90.00°, β = 110.03° and γ = 90.00°. The distinct sites, in fractional coordinates, are Ce at (0.0000, 0.2203, 0.0000), Ce at (0.1364, 0.5000, 0.8393), Ce at (0.1912, 0.1081, 0.5840), Ir at (0.0000, 0.3132, 0.5000) and Ru at (0.0000, 0.0000, 0.0000).

=====

No. 16
Computed, not measured: a relaxed Ce8Ir5Ru crystal at the PBE-GGA level of DFT.

The value obtained for the formation energy is -0.646 eV per atom. Its spin magnetization is 4.12 μB per cell.

It has space group I-4 (No. 82), with a = 8.6585 Å, b = 8.6585 Å, c = 8.7306 Å, α = 90.00°, β = 90.00° and γ = 90.00°. The distinct sites, in fractional coordinates, are Ce at (0.0582, 0.3052, 0.4361), Ce at (0.0600, 0.1910, 0.8170), Ir at (0.0000, 0.5000, 0.7500), Ir at (0.1219, 0.2498, 0.1255) and Ru at (0.0000, 0.0000, 0.5000).

=====

No. 17
Computed, not measured: a relaxed Ce6IrRu2 crystal at the PBE-GGA level of DFT.

The value obtained for the formation energy is -0.393 eV per atom. Its spin magnetization is 0.00 μB per cell. The calculation puts the relative energy among the computed polymorphs at 0.0 meV per atom.

It has space group C2/m (No. 12), with a = 10.3318 Å, b = 4.7268 Å, c = 8.6266 Å, α = 90.00°, β = 101.56° and γ = 90.00°. The distinct sites, in fractional coordinates, are Ce at (0.0536, 0.0000, 0.3323), Ce at (0.1082, 0.5000, 0.6682), Ce at (0.1799, 0.5000, 0.0854), Ir at (0.0000, 0.0000, 0.0000) and Ru at (0.2284, 0.5000, 0.3750).

=====

No. 18
Computed, not measured: a relaxed Ce2IrRu crystal at the PBE-GGA level of DFT.

The value obtained for the formation energy is -0.474 eV per atom. Its spin magnetization is 0.00 μB per cell.

It has space group Pna2_1 (No. 33), with a = 5.6440 Å, b = 10.6087 Å, c = 5.8490 Å, α = 90.00°, β = 90.00° and γ = 90.00°. The distinct sites, in fractional coordinates, are Ce at (0.0267, 0.1117, 0.0000), Ce at (0.0311, 0.6022, 0.1086), Ir at (0.0514, 0.8536, 0.9812) and Ru at (0.0583, 0.3592, 0.1348).

=====

No. 19
Computed, not measured: a relaxed Ce8IrRu5 crystal at the PBE-GGA level of DFT.

The value obtained for the formation energy is -0.393 eV per atom. Its spin magnetization is 0.01 μB per cell.

It has space group I-4 (No. 82), with a = 8.6333 Å, b = 8.6333 Å, c = 8.5375 Å, α = 90.00°, β = 90.00° and γ = 90.00°. The distinct sites, in fractional coordinates, are Ce at (0.0546, 0.1938, 0.1826), Ce at (0.0579, 0.3101, 0.5718), Ir at (0.0000, 0.0000, 0.5000), Ru at (0.0000, 0.5000, 0.2500) and Ru at (0.1299, 0.2497, 0.8736).

=====

No. 20
Computed, not measured: a relaxed Ce4IrRu crystal at the PBE-GGA level of DFT.

The value obtained for the formation energy is -0.401 eV per atom. Its spin magnetization is 0.05 μB per cell. The calculation puts the relative energy among the computed polymorphs at 0.0 meV per atom.

It has space group C2/c (No. 15), with a = 8.6461 Å, b = 12.3103 Å, c = 6.0366 Å, α = 90.00°, β = 118.68° and γ = 90.00°. The distinct sites, in fractional coordinates, are Ce at (0.1223, 0.1823, 0.0936), Ce at (0.1791, 0.4164, 0.2987), Ir at (0.0000, 0.3741, 0.7500) and Ru at (0.0000, 0.0006, 0.2500).

=====

No. 21
Computed, not measured: a relaxed CeIrRu crystal at the PBE-GGA level of DFT.

The value obtained for the formation energy is -0.543 eV per atom. Its spin magnetization is 0.00 μB per cell. The calculation puts the relative energy among the computed polymorphs at 0.0 meV per atom.

It has space group Imma (No. 74), with a = 5.1568 Å, b = 5.4184 Å, c = 7.8674 Å, α = 90.00°, β = 90.00° and γ = 90.00°. The distinct sites, in fractional coordinates, are Ce at (0.0000, 0.2500, 0.1262), Ir at (0.0000, 0.0000, 0.5000) and Ru at (0.2500, 0.2500, 0.7500).

=====

No. 22
Computed, not measured: a relaxed Ce3IrRu2 crystal at the PBE-GGA level of DFT.

The value obtained for the formation energy is -0.353 eV per atom. Its spin magnetization is 1.60 μB per cell.

It has space group C2/c (No. 15), with a = 10.6361 Å, b = 7.4870 Å, c = 6.9615 Å, α = 90.00°, β = 93.97° and γ = 90.00°. The distinct sites, in fractional coordinates, are Ce at (0.0000, 0.1630, 0.2500), Ce at (0.2046, 0.4846, 0.0162), Ir at (0.0000, 0.4542, 0.7500) and Ru at (0.1321, 0.1381, 0.7765).

=====

Number 1: final energy -150.523 eV per cell. Number 2: final energy -85.626 eV per cell. Number 3: final energy -23.807 eV per cell. Number 4: final energy -106.325 eV per cell. Number 5: final energy -129.956 eV per cell. Number 6: final energy -76.561 eV per cell. Number 7: final energy -79.783 eV per cell. Number 8: final energy -78.090 eV per cell. Number 9: final energy -144.326 eV per cell. Number 10: final energy -133.053 eV per cell. Number 11: final energy -351.264 eV per cell. Number 12: final energy -24.911 eV per cell. Number 13: final energy -31.899 eV per cell. Number 14: final energy -156.735 eV per cell. Number 15: final energy -156.318 eV per cell. Number 16: final energy -220.180 eV per cell. Number 17: final energy -133.107 eV per cell. Number 18: final energy -127.605 eV per cell. Number 19: final energy -216.415 eV per cell. Number 20: final energy -177.124 eV per cell. Number 21: final energy -102.794 eV per cell. Number 22: final energy -189.339 eV per cell.